# 1
VASP calculation (GGA-PBE) on a relaxed K2SrNi crystal.

Unit cell a=7.659 b=4.428 c=11.581 alpha=90.00 beta=102.75 gamma=90.00
Fractional positions:
1 K 0.000 0.000 0.000
2 K 0.211 0.000 0.638
3 K 0.500 0.500 0.000
4 K 0.711 0.500 0.638
5 Sr 0.433 0.000 0.304
6 Sr 0.933 0.500 0.304
7 Ni 0.225 0.500 0.180
8 Ni 0.725 0.000 0.180

Calculated values
The offset from the most stable computed form is 28 meV/atom. The value obtained for the formation energy is 115 kJ/mol of formula units.



# 2
VASP calculation (GGA-PBE) on a relaxed KSr3Ni crystal.

Unit cell a=6.960 b=6.960 c=6.960 alpha=90.00 beta=90.00 gamma=90.00
Fractional positions:
1 K 0.000 0.000 0.000
2 Sr 0.000 0.000 0.500
3 Sr 0.000 0.500 0.000
4 Sr 0.500 0.000 0.000
5 Ni 0.500 0.500 0.500

Calculated values
The offset from the most stable computed form is 1292 meV/atom. The value obtained for the formation energy is 638 kJ/mol of formula units.



# 3
VASP calculation (GGA-PBE) on a relaxed KSr2Ni crystal.

Unit cell a=13.752 b=4.103 c=7.286 alpha=90.00 beta=121.96 gamma=90.00
Fractional positions:
1 K 0.000 0.000 0.000
2 K 0.500 0.500 0.000
3 Sr 0.177 0.000 0.659
4 Sr 0.348 0.000 0.365
5 Sr 0.677 0.500 0.659
6 Sr 0.848 0.500 0.365
7 Ni 0.209 0.500 0.412
8 Ni 0.709 0.000 0.412

Calculated values
The offset from the most stable computed form is 168 meV/atom. The value obtained for the formation energy is 89 kJ/mol of formula units.



# 4
VASP calculation (GGA-PBE) on a relaxed KSr2Ni crystal.

Unit cell a=8.449 b=8.449 c=8.449 alpha=90.00 beta=90.00 gamma=90.00
Fractional positions:
1 K 0.000 0.000 0.000
2 K 0.000 0.500 0.500
3 K 0.500 0.000 0.500
4 K 0.500 0.500 0.000
5 Sr 0.000 0.000 0.500
6 Sr 0.000 0.500 0.000
7 Sr 0.250 0.250 0.250
8 Sr 0.250 0.750 0.750
9 Sr 0.500 0.000 0.000
10 Sr 0.500 0.500 0.500
11 Sr 0.750 0.250 0.750
12 Sr 0.750 0.750 0.250
13 Ni 0.250 0.250 0.750
14 Ni 0.250 0.750 0.250
15 Ni 0.750 0.250 0.250
16 Ni 0.750 0.750 0.750

Calculated values
The offset from the most stable computed form is 524 meV/atom. The value obtained for the formation energy is 227 kJ/mol of formula units.



| no. | density of states at the Fermi level (states/eV per atom) |
| --- | --- |
| 1 | 0.55 |
| 2 | 2.04 |
| 3 | 0.62 |
| 4 | 1.07 |